Entry 1:
DFT (PBE) results for crystalline Y4Ge2C at its relaxed geometry.

Lattice parameters (Å, degrees): 8.600 8.600 8.600 148.59 148.59 45.01
Fractional coordinates of all 7 atoms:
Y 0.000 0.500 0.500
Y 0.179 0.179 0.000
Y 0.500 0.000 0.500
Y 0.821 0.821 0.000
Ge 0.364 0.364 0.000
Ge 0.636 0.636 0.000
C 0.500 0.500 0.000

**N(E_F)**: 7.35 states/eV per cell
**Formation energy**: -1.8 eV/f.u.
**Total energy**: -6.591 eV/atom
**Energy relative to the lowest polymorph listed for this composition**: 412.6 meV per atom
**Spin magnetization**: 0.00 μB/f.u.
**Theoretical density**: 4947 kg/m3
**SG**: I4/mmm



Entry 2:
DFT (PBE) results for crystalline Y6Ge3C at its relaxed geometry.

Lattice parameters (Å, degrees): 6.430 7.697 11.803 90.00 122.40 90.00
Fractional coordinates of all 20 atoms:
Y 0.097 0.049 0.233
Y 0.097 0.451 0.733
Y 0.208 0.706 0.063
Y 0.208 0.794 0.563
Y 0.381 0.165 0.062
Y 0.381 0.335 0.562
Y 0.619 0.665 0.438
Y 0.619 0.835 0.938
Y 0.792 0.206 0.437
Y 0.792 0.294 0.937
Y 0.903 0.549 0.267
Y 0.903 0.951 0.767
Ge 0.308 0.105 0.747
Ge 0.308 0.395 0.247
Ge 0.500 0.000 0.500
Ge 0.500 0.500 0.000
Ge 0.692 0.605 0.753
Ge 0.692 0.895 0.253
C 0.000 0.000 0.000
C 0.000 0.500 0.500

**N(E_F)**: 14.26 states/eV per cell
**Formation energy**: -6.4 eV/f.u.
**Total energy**: -6.827 eV/atom
**Spin magnetization**: 0.00 μB/f.u.
**Theoretical density**: 5140 kg/m3
**SG**: P2_1/c



Entry 3:
DFT (PBE) results for crystalline Y4Ge2C at its relaxed geometry.

Lattice parameters (Å, degrees): 6.568 6.543 8.552 90.00 109.42 90.00
Fractional coordinates of all 14 atoms:
Y 0.011 0.002 0.245
Y 0.011 0.498 0.245
Y 0.426 0.250 0.586
Y 0.449 0.250 0.134
Y 0.551 0.750 0.866
Y 0.574 0.750 0.414
Y 0.989 0.502 0.755
Y 0.989 0.998 0.755
Ge 0.198 0.750 0.547
Ge 0.261 0.750 0.065
Ge 0.739 0.250 0.935
Ge 0.802 0.250 0.453
C 0.259 0.250 0.310
C 0.741 0.750 0.690

**N(E_F)**: 4.25 states/eV per cell
**Formation energy**: -3.7 eV/f.u.
**Total energy**: -6.861 eV/atom
**Energy relative to the lowest polymorph listed for this composition**: 142.4 meV per atom
**Spin magnetization**: 0.00 μB/f.u.
**Theoretical density**: 4914 kg/m3
**SG**: P2_1/m



Entry 4:
DFT (PBE) results for crystalline Y4Ge2C at its relaxed geometry.

Lattice parameters (Å, degrees): 8.205 8.205 6.796 90.00 90.00 132.48
Fractional coordinates of all 14 atoms:
Y 0.169 0.831 0.955
Y 0.238 0.262 0.750
Y 0.262 0.238 0.250
Y 0.331 0.669 0.455
Y 0.669 0.331 0.545
Y 0.738 0.762 0.750
Y 0.762 0.738 0.250
Y 0.831 0.169 0.045
Ge 0.136 0.864 0.519
Ge 0.364 0.636 0.019
Ge 0.636 0.364 0.981
Ge 0.864 0.136 0.481
C 0.000 0.000 0.000
C 0.500 0.500 0.500

**N(E_F)**: 1.26 states/eV per cell
**Formation energy**: -4.7 eV/f.u.
**Total energy**: -7.003 eV/atom
**Energy relative to the lowest polymorph listed for this composition**: 0.0 meV per atom
**Spin magnetization**: 0.00 μB/f.u.
**Theoretical density**: 5048 kg/m3
**SG**: Cmce



Entry 5:
DFT (PBE) results for crystalline YGeC at its relaxed geometry.

Lattice parameters (Å, degrees): 4.460 4.460 7.788 112.06 112.06 50.29
Fractional coordinates of all 6 atoms:
Y 0.077 0.077 0.311
Y 0.923 0.923 0.689
Ge 0.337 0.337 0.970
Ge 0.663 0.663 0.030
C 0.410 0.410 0.461
C 0.590 0.590 0.539

**N(E_F)**: 2.18 states/eV per cell
**Formation energy**: -1.0 eV/f.u.
**Total energy**: -7.103 eV/atom
**Spin magnetization**: 0.00 μB/f.u.
**Theoretical density**: 5315 kg/m3
**SG**: C2/m



Entry 6:
DFT (PBE) results for crystalline YGeC2 at its relaxed geometry.

Lattice parameters (Å, degrees): 5.289 5.289 5.289 113.43 113.43 101.81
Fractional coordinates of all 8 atoms:
Y 0.000 0.000 0.000
Y 0.750 0.250 0.500
Ge 0.250 0.750 0.500
Ge 0.500 0.500 0.000
C 0.190 0.125 0.565
C 0.375 0.810 0.935
C 0.560 0.625 0.435
C 0.875 0.440 0.065

**N(E_F)**: 1.44 states/eV per cell
**Formation energy**: 1.8 eV/f.u.
**Total energy**: -6.924 eV/atom
**Spin magnetization**: 0.00 μB/f.u.
**Theoretical density**: 5484 kg/m3
**SG**: I-42d



Entry 7:
DFT (PBE) results for crystalline Y12Ge3C5 at its relaxed geometry.

Lattice parameters (Å, degrees): 13.486 13.486 13.486 109.47 109.47 109.47
Fractional coordinates of all 80 atoms:
Y 0.024 0.205 0.120
Y 0.024 0.319 0.905
Y 0.086 0.705 0.681
Y 0.086 0.880 0.405
Y 0.095 0.620 0.414
Y 0.095 0.976 0.681
Y 0.120 0.024 0.205
Y 0.120 0.595 0.914
Y 0.181 0.205 0.586
Y 0.181 0.476 0.595
Y 0.205 0.120 0.024
Y 0.205 0.586 0.181
Y 0.295 0.319 0.914
Y 0.295 0.476 0.380
Y 0.319 0.905 0.024
Y 0.319 0.914 0.295
Y 0.380 0.295 0.476
Y 0.380 0.586 0.905
Y 0.405 0.086 0.880
Y 0.405 0.819 0.524
Y 0.414 0.095 0.620
Y 0.414 0.819 0.795
Y 0.476 0.380 0.295
Y 0.476 0.595 0.181
Y 0.524 0.405 0.819
Y 0.524 0.620 0.705
Y 0.586 0.181 0.205
Y 0.586 0.905 0.380
Y 0.595 0.181 0.476
Y 0.595 0.914 0.120
Y 0.620 0.414 0.095
Y 0.620 0.705 0.524
Y 0.681 0.086 0.705
Y 0.681 0.095 0.976
Y 0.705 0.524 0.620
Y 0.705 0.681 0.086
Y 0.795 0.414 0.819
Y 0.795 0.880 0.976
Y 0.819 0.524 0.405
Y 0.819 0.795 0.414
Y 0.880 0.405 0.086
Y 0.880 0.976 0.795
Y 0.905 0.024 0.319
Y 0.905 0.380 0.586
Y 0.914 0.120 0.595
Y 0.914 0.295 0.319
Y 0.976 0.681 0.095
Y 0.976 0.795 0.880
Ge 0.125 0.250 0.375
Ge 0.125 0.375 0.750
Ge 0.250 0.375 0.125
Ge 0.250 0.875 0.625
Ge 0.375 0.125 0.250
Ge 0.375 0.750 0.125
Ge 0.625 0.250 0.875
Ge 0.625 0.875 0.750
Ge 0.750 0.125 0.375
Ge 0.750 0.625 0.875
Ge 0.875 0.625 0.250
Ge 0.875 0.750 0.625
C 0.000 0.000 0.000
C 0.000 0.000 0.500
C 0.000 0.500 0.000
C 0.000 0.500 0.500
C 0.125 0.750 0.875
C 0.125 0.875 0.250
C 0.250 0.125 0.875
C 0.250 0.625 0.375
C 0.375 0.250 0.625
C 0.375 0.625 0.750
C 0.500 0.000 0.000
C 0.500 0.000 0.500
C 0.500 0.500 0.000
C 0.500 0.500 0.500
C 0.625 0.375 0.250
C 0.625 0.750 0.375
C 0.750 0.375 0.625
C 0.750 0.875 0.125
C 0.875 0.125 0.750
C 0.875 0.250 0.125

**N(E_F)**: 42.87 states/eV per cell
**Formation energy**: -7.6 eV/f.u.
**Total energy**: -7.259 eV/atom
**Spin magnetization**: 0.00 μB/f.u.
**Theoretical density**: 4731 kg/m3
**SG**: Ia-3d



Entry 8:
DFT (PBE) results for crystalline Y2ZnGeC at its relaxed geometry.

Lattice parameters (Å, degrees): 4.955 4.955 3.950 90.00 90.00 90.00
Fractional coordinates of all 5 atoms:
Y 0.000 0.500 0.000
Y 0.500 0.000 0.000
Zn 0.000 0.000 0.500
Ge 0.500 0.500 0.500
C 0.000 0.000 0.000

**N(E_F)**: 1.02 states/eV per cell
**Formation energy**: -2.1 eV/f.u.
**Total energy**: -6.033 eV/atom
**Spin magnetization**: 0.00 μB/f.u.
**Theoretical density**: 5614 kg/m3
**SG**: P4/mmm



Entry 9:
DFT (PBE) results for crystalline Y2Zr2Ge2C at its relaxed geometry.

Lattice parameters (Å, degrees): 8.273 8.273 8.273 148.92 148.92 44.53
Fractional coordinates of all 7 atoms:
Y 0.167 0.167 0.000
Y 0.833 0.833 0.000
Zr 0.000 0.500 0.500
Zr 0.500 0.000 0.500
Ge 0.367 0.367 0.000
Ge 0.633 0.633 0.000
C 0.000 0.000 0.000

**N(E_F)**: 7.07 states/eV per cell
**Formation energy**: -5.2 eV/f.u.
**Total energy**: -7.674 eV/atom
**Spin magnetization**: 0.02 μB/f.u.
**Theoretical density**: 5711 kg/m3
**SG**: I4/mmm



Entry 10:
DFT (PBE) results for crystalline ZnGe3C at its relaxed geometry.

Lattice parameters (Å, degrees): 4.347 4.347 4.347 90.00 90.00 90.00
Fractional coordinates of all 5 atoms:
Zn 0.000 0.000 0.000
Ge 0.000 0.500 0.500
Ge 0.500 0.000 0.500
Ge 0.500 0.500 0.000
C 0.500 0.500 0.500

**N(E_F)**: 2.75 states/eV per cell
**Formation energy**: 4.8 eV/f.u.
**Total energy**: -3.916 eV/atom
**Energy relative to the lowest polymorph listed for this composition**: 0.0 meV per atom
**Spin magnetization**: 0.00 μB/f.u.
**Theoretical density**: 5972 kg/m3
**SG**: Pm-3m



Entry 11:
DFT (PBE) results for crystalline ZnGe3C at its relaxed geometry.

Lattice parameters (Å, degrees): 4.767 4.767 4.767 90.00 90.00 90.00
Fractional coordinates of all 5 atoms:
Zn 0.000 0.000 0.000
Ge 0.000 0.000 0.500
Ge 0.000 0.500 0.000
Ge 0.500 0.000 0.000
C 0.500 0.500 0.500

**N(E_F)**: 3.55 states/eV per cell
**Formation energy**: 9.1 eV/f.u.
**Total energy**: -3.053 eV/atom
**Energy relative to the lowest polymorph listed for this composition**: 862.9 meV per atom
**Spin magnetization**: 0.93 μB/f.u.
**Theoretical density**: 4527 kg/m3
**SG**: Pm-3m



Entry 12:
DFT (PBE) results for crystalline Zr2GeC at its relaxed geometry.

Lattice parameters (Å, degrees): 4.525 4.525 4.525 60.00 60.00 60.00
Fractional coordinates of all 4 atoms:
Zr 0.250 0.250 0.250
Zr 0.750 0.750 0.750
Ge 0.000 0.000 0.000
C 0.500 0.500 0.500

**N(E_F)**: 6.13 states/eV per cell
**Formation energy**: 1.5 eV/f.u.
**Total energy**: -7.371 eV/atom
**Spin magnetization**: 0.00 μB/f.u.
**Theoretical density**: 6770 kg/m3
**SG**: Fm-3m



Entry 13:
DFT (PBE) results for crystalline Zr6Ge2C at its relaxed geometry.

Lattice parameters (Å, degrees): 5.914 5.914 11.422 90.00 90.00 90.00
Fractional coordinates of all 18 atoms:
Zr 0.190 0.190 0.144
Zr 0.190 0.190 0.856
Zr 0.223 0.223 0.500
Zr 0.277 0.723 0.000
Zr 0.310 0.690 0.356
Zr 0.310 0.690 0.644
Zr 0.690 0.310 0.356
Zr 0.690 0.310 0.644
Zr 0.723 0.277 0.000
Zr 0.777 0.777 0.500
Zr 0.810 0.810 0.144
Zr 0.810 0.810 0.856
Ge 0.000 0.000 0.331
Ge 0.000 0.000 0.669
Ge 0.500 0.500 0.169
Ge 0.500 0.500 0.831
C 0.000 0.000 0.000
C 0.500 0.500 0.500

**N(E_F)**: 13.98 states/eV per cell
**Formation energy**: -2.6 eV/f.u.
**Total energy**: -8.038 eV/atom
**Spin magnetization**: 0.00 μB/f.u.
**Theoretical density**: 5857 kg/m3
**SG**: P4_2/mnm



Entry 14:
DFT (PBE) results for crystalline ZrGe2C2 at its relaxed geometry.

Lattice parameters (Å, degrees): 6.956 6.956 3.092 90.00 90.00 90.00
Fractional coordinates of all 10 atoms:
Zr 0.000 0.000 0.000
Zr 0.500 0.500 0.000
Ge 0.118 0.382 0.000
Ge 0.382 0.882 0.000
Ge 0.618 0.118 0.000
Ge 0.882 0.618 0.000
C 0.234 0.266 0.500
C 0.266 0.766 0.500
C 0.734 0.234 0.500
C 0.766 0.734 0.500

**N(E_F)**: 5.61 states/eV per cell
**Formation energy**: 5.3 eV/f.u.
**Total energy**: -6.189 eV/atom
**Energy relative to the lowest polymorph listed for this composition**: 35.7 meV per atom
**Spin magnetization**: 0.00 μB/f.u.
**Theoretical density**: 5784 kg/m3
**SG**: P4/mbm



Entry 15:
DFT (PBE) results for crystalline Zr4Ge2C at its relaxed geometry.

Lattice parameters (Å, degrees): 7.028 10.797 3.572 90.00 90.00 90.00
Fractional coordinates of all 14 atoms:
Zr 0.124 0.192 0.000
Zr 0.204 0.942 0.500
Zr 0.296 0.442 0.500
Zr 0.376 0.692 0.000
Zr 0.624 0.308 0.000
Zr 0.704 0.558 0.500
Zr 0.796 0.058 0.500
Zr 0.876 0.808 0.000
Ge 0.079 0.666 0.500
Ge 0.421 0.166 0.500
Ge 0.579 0.834 0.500
Ge 0.921 0.334 0.500
C 0.000 0.000 0.000
C 0.500 0.500 0.000

**N(E_F)**: 7.66 states/eV per cell
**Formation energy**: -4.7 eV/f.u.
**Total energy**: -8.198 eV/atom
**Spin magnetization**: 0.00 μB/f.u.
**Theoretical density**: 6399 kg/m3
**SG**: Pbam



Entry 16:
DFT (PBE) results for crystalline ZrGeC2 at its relaxed geometry.

Lattice parameters (Å, degrees): 5.813 5.813 5.813 128.95 128.95 75.08
Fractional coordinates of all 8 atoms:
Zr 0.000 0.000 0.000
Zr 0.750 0.250 0.500
Ge 0.250 0.750 0.500
Ge 0.500 0.500 0.000
C 0.156 0.625 0.031
C 0.375 0.406 0.531
C 0.594 0.125 0.969
C 0.875 0.844 0.469

**N(E_F)**: 0.00 states/eV per cell
**Formation energy**: 1.4 eV/f.u.
**Total energy**: -7.543 eV/atom
**Spin magnetization**: 0.00 μB/f.u.
**Theoretical density**: 5396 kg/m3
**SG**: I-42d



Entry 17:
DFT (PBE) results for crystalline ZrGe2C at its relaxed geometry.

Lattice parameters (Å, degrees): 5.496 5.496 5.496 108.57 108.57 111.30
Fractional coordinates of all 8 atoms:
Zr 0.000 0.000 0.000
Zr 0.750 0.250 0.500
Ge 0.215 0.625 0.090
Ge 0.375 0.465 0.590
Ge 0.535 0.125 0.910
Ge 0.875 0.785 0.410
C 0.250 0.750 0.500
C 0.500 0.500 0.000

**N(E_F)**: 4.19 states/eV per cell
**Formation energy**: 1.5 eV/f.u.
**Total energy**: -6.388 eV/atom
**Spin magnetization**: 0.00 μB/f.u.
**Theoretical density**: 6464 kg/m3
**SG**: I-42d



Entry 18:
DFT (PBE) results for crystalline ZrGeC3 at its relaxed geometry.

Lattice parameters (Å, degrees): 4.347 4.347 4.347 90.00 90.00 90.00
Fractional coordinates of all 5 atoms:
Zr 0.000 0.000 0.000
Ge 0.500 0.500 0.500
C 0.000 0.000 0.500
C 0.000 0.500 0.000
C 0.500 0.000 0.000

**N(E_F)**: 3.89 states/eV per cell
**Formation energy**: 10.9 eV/f.u.
**Total energy**: -5.986 eV/atom
**Energy relative to the lowest polymorph listed for this composition**: 423.9 meV per atom
**Spin magnetization**: 0.00 μB/f.u.
**Theoretical density**: 4042 kg/m3
**SG**: Pm-3m



Entry 19:
DFT (PBE) results for crystalline Zr5Ge2C at its relaxed geometry.

Lattice parameters (Å, degrees): 7.360 7.360 10.908 90.00 90.00 141.56
Fractional coordinates of all 16 atoms:
Zr 0.074 0.926 0.615
Zr 0.074 0.926 0.885
Zr 0.294 0.706 0.571
Zr 0.294 0.706 0.929
Zr 0.300 0.700 0.250
Zr 0.700 0.300 0.750
Zr 0.706 0.294 0.071
Zr 0.706 0.294 0.429
Zr 0.926 0.074 0.115
Zr 0.926 0.074 0.385
Ge 0.131 0.869 0.119
Ge 0.131 0.869 0.381
Ge 0.869 0.131 0.619
Ge 0.869 0.131 0.881
C 0.195 0.805 0.750
C 0.805 0.195 0.250

**N(E_F)**: 17.17 states/eV per cell
**Formation energy**: -1.0 eV/f.u.
**Total energy**: -7.776 eV/atom
**Spin magnetization**: 0.34 μB/f.u.
**Theoretical density**: 5545 kg/m3
**SG**: Cmcm



Entry 20:
DFT (PBE) results for crystalline ZrGe2C2 at its relaxed geometry.

Lattice parameters (Å, degrees): 4.869 4.869 4.869 130.21 130.21 73.08
Fractional coordinates of all 5 atoms:
Zr 0.000 0.000 0.000
Ge 0.338 0.338 0.000
Ge 0.662 0.662 0.000
C 0.250 0.750 0.500
C 0.750 0.250 0.500

**N(E_F)**: 2.83 states/eV per cell
**Formation energy**: 5.1 eV/f.u.
**Total energy**: -6.224 eV/atom
**Energy relative to the lowest polymorph listed for this composition**: 0.0 meV per atom
**Spin magnetization**: 0.00 μB/f.u.
**Theoretical density**: 6580 kg/m3
**SG**: I4/mmm